Arrangement a

DFT (PBE-GGA) results for a geometry-optimized HgTeCI2 structure.

Lattice parameters (Å, degrees): 5.903 5.903 5.808 90.00 90.00 90.00
Sites, in units of the cell vectors:
Hg1 0.000 0.000 0.000
Te1 0.000 0.000 0.500
C1 0.500 0.500 0.500
I1 0.000 0.500 0.000
I2 0.500 0.000 0.000



Arrangement b

DFT (PBE-GGA) results for a geometry-optimized HgTeCI2 structure.

Lattice parameters (Å, degrees): 5.255 5.255 4.788 90.00 90.00 90.00
Sites, in units of the cell vectors:
Hg1 0.000 0.000 0.000
Te1 0.500 0.500 0.000
C1 0.500 0.500 0.500
I1 0.000 0.500 0.500
I2 0.500 0.000 0.500



What should be chosen as the least stable of them? Choose arrangement a.



Arrangement a

DFT (PBE-GGA) results for a geometry-optimized InHgC3 structure.

Lattice parameters (Å, degrees): 4.397 4.397 4.397 90.00 90.00 90.00
Sites, in units of the cell vectors:
In1 0.000 0.000 0.000
Hg1 0.500 0.500 0.500
C1 0.000 0.000 0.500
C2 0.000 0.500 0.000
C3 0.500 0.000 0.000



Arrangement b

DFT (PBE-GGA) results for a geometry-optimized InHgC3 structure.

Lattice parameters (Å, degrees): 4.377 4.377 4.377 90.00 90.00 90.00
Sites, in units of the cell vectors:
In1 0.000 0.000 0.000
Hg1 0.500 0.500 0.500
C1 0.000 0.500 0.500
C2 0.500 0.000 0.500
C3 0.500 0.500 0.000



What should be chosen as the least stable of them? Choose arrangement b.